Record 1
Crystalline Mn4B at its relaxed geometry, computed with PBE-GGA.

Computed properties:
Calculated volume: 11.82 Å³ per atom
ΔE_f: 0.079 eV per atom
Relative energy among the computed polymorphs: 0.207 eV/atom

Geometry as POSCAR:
```
Mn4B
1.0
-1.8702 -0.5271 -3.3765
3.4170 -0.3448 -1.8388
-0.0501 -3.8444 0.6279
B Mn
1 4
Direct
0.5000 0.5000 0.5000
0.0000 0.0000 0.0000
0.5000 0.0000 0.5000
0.0000 0.5000 0.5000
0.5000 0.5000 0.0000
```

Record 2
Crystalline GdYAlAg at its relaxed geometry, computed with PBE-GGA.

Computed properties:
Calculated volume: 24.63 Å³ per atom
ΔE_f: -0.351 eV per atom

Geometry as POSCAR:
```
GdYAlAg
1.0
5.1840 0.0000 0.0000
2.5920 4.4894 0.0000
2.5920 1.4965 4.2327
Y Gd Al Ag
1 1 1 1
Direct
0.7500 0.7500 0.7500
0.2500 0.2500 0.2500
0.0000 0.0000 0.0000
0.5000 0.5000 0.5000
```

Record 3
Crystalline NaEuErSn at its relaxed geometry, computed with PBE-GGA.

Computed properties:
Calculated volume: 28.76 Å³ per atom
ΔE_f: -0.284 eV per atom

Geometry as POSCAR:
```
NaEuErSn
1.0
-0.9570 -4.4288 -3.0453
2.9759 -4.5167 0.7401
-2.2685 -4.4246 2.2541
Eu Na Sn Er
1 1 1 1
Direct
0.5000 0.5000 0.5000
0.7500 0.7500 0.7500
0.2500 0.2500 0.2500
0.0000 0.0000 0.0000
```

Record 4
Crystalline La2CeTl4 at its relaxed geometry, computed with PBE-GGA.

Computed properties:
Calculated volume: 32.97 Å³ per atom
ΔE_f: -0.218 eV per atom
Relative energy among the computed polymorphs: 0.000 eV/atom

Geometry as POSCAR:
```
La2CeTl4
1.0
5.2609 0.0000 -1.6770
-0.5346 5.2336 -1.6770
-0.1840 -0.2037 8.5132
Tl Ce La
4 1 2
Direct
0.3880 0.8880 0.7759
0.8880 0.3880 0.7759
0.6120 0.1120 0.2241
0.1120 0.6120 0.2241
0.0000 0.0000 0.0000
0.7426 0.7426 0.4852
0.2574 0.2574 0.5148
```

Record 5
Crystalline Ti2CuRe at its relaxed geometry, computed with PBE-GGA.

Computed properties:
Calculated volume: 14.89 Å³ per atom
ΔE_f: -0.269 eV per atom

Geometry as POSCAR:
```
Ti2CuRe
1.0
3.9795 1.1454 1.4378
0.3995 2.8582 3.2996
1.3887 -1.3660 3.9270
Re Cu Ti
1 1 2
Direct
0.5000 0.5000 0.5000
0.0000 0.0000 0.0000
0.2500 0.2500 0.2500
0.7500 0.7500 0.7500
```

Record 6
Crystalline KMn2Cl at its relaxed geometry, computed with PBE-GGA.

Computed properties:
Energy relative to the elements, uncorrected: 0.321 eV/atom
Calculated volume: 27.96 Å³ per atom
Relative energy among the computed polymorphs: 0.270 eV/atom

Geometry as POSCAR:
```
KMn2Cl
1.0
-2.9606 0.7334 5.6350
-2.0535 -5.7506 1.9417
4.7002 4.1769 -1.2323
K Mn Cl
1 2 1
Direct
0.2917 0.7917 0.5000
0.9324 0.9324 0.0000
0.7277 0.2277 0.5000
0.5482 0.5482 0.0000
```

Record 7
Crystalline OsPdNF2 at its relaxed geometry, computed with PBE-GGA.

Computed properties:
Energy relative to the elements, uncorrected: 1.025 eV/atom
Calculated volume: 14.10 Å³ per atom
Relative energy among the computed polymorphs: 0.999 eV/atom

Geometry as POSCAR:
```
OsPdNF2
1.0
-3.5745 -0.8595 2.1556
0.7562 -4.1740 -0.4104
1.9983 0.0348 3.3276
N Os Pd F
1 1 1 2
Direct
0.0000 0.0000 0.5000
0.5000 0.5000 0.5000
0.0000 0.0000 0.0000
0.0000 0.5000 0.0000
0.5000 0.0000 0.0000
```

Record 8
Crystalline DyPuS3 at its relaxed geometry, computed with PBE-GGA.

Computed properties:
Energy relative to the elements, uncorrected: -1.820 eV/atom
Calculated volume: 23.51 Å³ per atom
Relative energy among the computed polymorphs: 0.054 eV/atom

Geometry as POSCAR:
```
DyPuS3
1.0
3.8979 0.0000 0.0000
0.0000 7.7547 0.6551
0.0000 -1.1144 7.6845
Dy Pu S
2 2 6
Direct
0.2500 0.8575 0.3230
0.7500 0.1425 0.6770
0.2500 0.3867 0.2284
0.7500 0.6133 0.7716
0.7500 0.6218 0.3835
0.2500 0.3782 0.6165
0.7500 0.3193 0.9808
0.2500 0.8947 0.6799
0.2500 0.6807 0.0192
0.7500 0.1053 0.3201
```

Record 9
Crystalline Y2Tl3SbTe6 at its relaxed geometry, computed with PBE-GGA.

Computed properties:
Energy relative to the elements, uncorrected: -0.785 eV/atom
Calculated volume: 35.17 Å³ per atom

Geometry as POSCAR:
```
Y2Tl3SbTe6
1.0
7.7568 -0.0030 -0.0002
-3.8791 6.7171 -0.0002
-1.2934 -2.2394 8.1014
Y Tl Sb Te
2 3 1 6
Direct
0.3336 0.6664 0.0000
0.6664 0.3336 0.0000
0.1690 0.8310 0.5000
0.8310 0.1690 0.5000
0.5000 0.5000 0.5000
0.0000 0.0000 0.0000
0.9296 0.5977 0.7881
0.7399 0.7399 0.2146
0.0704 0.4023 0.2119
0.5977 0.9296 0.7881
0.2601 0.2601 0.7854
0.4023 0.0704 0.2119
```

Record 10
Crystalline Li2Pa2CuSe6 at its relaxed geometry, computed with PBE-GGA.

Computed properties:
Energy relative to the elements, uncorrected: -1.119 eV/atom
Calculated volume: 25.25 Å³ per atom

Geometry as POSCAR:
```
Li2Pa2CuSe6
1.0
7.1781 -0.2611 0.1214
-3.7748 6.1110 0.1214
-1.1632 -1.9993 6.3955
Li Pa Cu Se
2 2 1 6
Direct
0.8342 0.1658 0.0000
0.1658 0.8342 0.0000
0.3411 0.6589 0.5000
0.6589 0.3411 0.5000
0.0000 0.0000 0.5000
0.7790 0.7790 0.7268
0.0656 0.4304 0.7503
0.2210 0.2210 0.2732
0.4304 0.0656 0.7503
0.9344 0.5696 0.2497
0.5696 0.9344 0.2497
```

Record 11
Crystalline Ce2ReRuN6 at its relaxed geometry, computed with PBE-GGA.

Computed properties:
Energy relative to the elements, uncorrected: -0.619 eV/atom
Calculated volume: 11.99 Å³ per atom

Geometry as POSCAR:
```
Ce2ReRuN6
1.0
-5.3519 0.3554 -1.0199
-0.3173 -5.6435 -0.3016
-1.4739 -0.3239 7.6102
Ce Re Ru N
4 2 2 12
Direct
0.0080 0.9438 0.2505
0.5080 0.5562 0.7505
0.9920 0.0562 0.7495
0.4920 0.4438 0.2495
0.5000 0.0000 0.5000
0.0000 0.5000 0.0000
0.5000 0.0000 0.0000
0.0000 0.5000 0.5000
0.3029 0.6941 0.0448
0.8029 0.8058 0.5448
0.6971 0.3059 0.9552
0.1971 0.1942 0.4552
0.3090 0.7043 0.4522
0.8090 0.7957 0.9522
0.6910 0.2957 0.5478
0.1910 0.2043 0.0478
0.9125 0.5238 0.2468
0.4125 0.9762 0.7468
0.0875 0.4762 0.7532
0.5875 0.0238 0.2532
```

Record 12
Crystalline CaAu3 at its relaxed geometry, computed with PBE-GGA.

Computed properties:
Calculated volume: 20.38 Å³ per atom
ΔE_f: -0.538 eV per atom

Geometry as POSCAR:
```
CaAu3
1.0
-0.9416 -2.9197 -3.2660
1.4080 -3.3601 2.5979
-3.9974 2.7033 1.8096
Ca Au
1 3
Direct
0.0000 0.9166 0.0000
0.2502 0.6670 0.5005
0.5000 0.4165 0.0000
0.7498 0.1665 0.4995
```

Calculated theoretical density in order - 6.5, 6.4, 6.7, 8.9, 9.6, 2.7, 8.2, 7.1, 6.6, 6.1, 9.0, 12.9 g/cm³